Entry 1:
# LiTmAl2Pt2 | Alexandria via LeMat-Bulk | GGA-PBE | optimized geometry
# Energy relative to the elements (meV per atom): -1009
# Crystal system: trigonal
data_LiTmAl2Pt2
_space_group_name_H-M_alt 'P -3 m 1'
_space_group_IT_number 164
_space_group_name_Hall '-P 3 2"'
_cell_length_a 4.3526
_cell_length_b 4.3526
_cell_length_c 6.3436
_cell_angle_alpha 90.00
_cell_angle_beta 90.00
_cell_angle_gamma 120.00
loop_
_atom_site_label
_atom_site_type_symbol
_atom_site_fract_x
_atom_site_fract_y
_atom_site_fract_z
Li1 Li 0.0000 0.0000 0.0000
Tm1 Tm 0.0000 0.0000 0.5000
Al1 Al 0.3333 0.6667 0.8263
Pt1 Pt 0.3333 0.6667 0.2316

---

Entry 2:
# CsBaTaS4 | Alexandria via LeMat-Bulk | GGA-PBE | optimized geometry
# Crystal system: monoclinic
# Energy relative to the elements, uncorrected (kJ per mole of atoms): -145
data_CsBaTaS4
_space_group_name_H-M_alt 'P 1 21/m 1'
_space_group_IT_number 11
_space_group_name_Hall '-P 2yb'
_cell_length_a 7.417
_cell_length_b 7.123
_cell_length_c 9.716
_cell_angle_alpha 90.00
_cell_angle_beta 106.76
_cell_angle_gamma 90.00
loop_
_atom_site_label
_atom_site_type_symbol
_atom_site_fract_x
_atom_site_fract_y
_atom_site_fract_z
Cs1 Cs 0.217 0.250 0.433
Ba1 Ba 0.265 0.250 0.949
Ta1 Ta 0.288 0.750 0.183
S1 S 0.095 0.750 0.328
S2 S 0.114 0.750 0.947
S3 S 0.486 0.003 0.224

---

Entry 3:
# SrLa2Os | Alexandria via LeMat-Bulk | GGA-PBE | optimized geometry
# Energy relative to the elements (meV per atom): 41
# Energy above the most stable polymorph in this dataset (eV per atom): 0.102
# Crystal system: orthorhombic
data_SrLa2Os
_space_group_name_H-M_alt 'I m m m'
_space_group_IT_number 71
_space_group_name_Hall '-I 2 2'
_cell_length_a 3.943
_cell_length_b 6.197
_cell_length_c 10.955
_cell_angle_alpha 90.00
_cell_angle_beta 90.00
_cell_angle_gamma 90.00
loop_
_atom_site_label
_atom_site_type_symbol
_atom_site_fract_x
_atom_site_fract_y
_atom_site_fract_z
Sr1 Sr 0.000 0.000 0.000
La1 La 0.000 0.500 0.177
Os1 Os 0.000 0.000 0.500

---

Entry 4:
# SrAlCd | Alexandria via LeMat-Bulk | GGA-PBE | optimized geometry
# Energy relative to the elements (meV per atom): 0
# Crystal system: cubic
data_SrAlCd
_space_group_name_H-M_alt 'F -4 3 m'
_space_group_IT_number 216
_space_group_name_Hall 'F -4 2 3'
_cell_length_a 7.197
_cell_length_b 7.197
_cell_length_c 7.197
_cell_angle_alpha 90.00
_cell_angle_beta 90.00
_cell_angle_gamma 90.00
loop_
_atom_site_label
_atom_site_type_symbol
_atom_site_fract_x
_atom_site_fract_y
_atom_site_fract_z
Sr1 Sr 0.000 0.000 0.000
Al1 Al 0.000 0.000 0.500
Cd1 Cd 0.250 0.250 0.750

---

Entry 5:
# Pr12Sm5Th2 | Alexandria via LeMat-Bulk | GGA-PBE | optimized geometry
# Energy relative to the elements (meV per atom): 120
# Energy above the most stable polymorph in this dataset (eV per atom): 0.000
# Crystal system: monoclinic
data_Pr12Sm5Th2
_space_group_name_H-M_alt 'C 1 2/m 1'
_space_group_IT_number 12
_space_group_name_Hall '-C 2y'
_cell_length_a 18.396
_cell_length_b 11.892
_cell_length_c 6.303
_cell_angle_alpha 90.00
_cell_angle_beta 103.16
_cell_angle_gamma 90.00
loop_
_atom_site_label
_atom_site_type_symbol
_atom_site_fract_x
_atom_site_fract_y
_atom_site_fract_z
Pr1 Pr 0.055 0.000 0.266
Pr2 Pr 0.102 0.248 0.610
Pr3 Pr 0.117 0.500 0.001
Pr4 Pr 0.198 0.242 0.200
Sm1 Sm 0.000 0.500 0.500
Sm2 Sm 0.179 0.000 0.852
Sm3 Sm 0.213 0.500 0.557
Th1 Th 0.000 0.268 0.000

---

Entry 6:
# Pu2SbTe | Alexandria via LeMat-Bulk | GGA-PBE | optimized geometry
# Energy above the most stable polymorph in this dataset (eV per atom): 0.039
# Crystal system: hexagonal
# Energy relative to the elements, uncorrected (kJ per mole of atoms): -80
data_Pu2SbTe
_space_group_name_H-M_alt 'P 63/m m c'
_space_group_IT_number 194
_space_group_name_Hall '-P 6c 2c'
_cell_length_a 4.4400
_cell_length_b 4.4400
_cell_length_c 14.7578
_cell_angle_alpha 90.00
_cell_angle_beta 90.00
_cell_angle_gamma 120.00
loop_
_atom_site_label
_atom_site_type_symbol
_atom_site_fract_x
_atom_site_fract_y
_atom_site_fract_z
Pu1 Pu 0.3333 0.6667 0.1204
Sb1 Sb 0.0000 0.0000 0.0000
Te1 Te 0.3333 0.6667 0.7500

---

Entry 7:
# NaHfBe2 | Alexandria via LeMat-Bulk | GGA-PBE | optimized geometry
# Energy relative to the elements (meV per atom): 1011
# Energy above the most stable polymorph in this dataset (eV per atom): 0.428
# Crystal system: tetragonal
data_NaHfBe2
_space_group_name_H-M_alt 'I -4 2 d'
_space_group_IT_number 122
_space_group_name_Hall 'I -4 2bw'
_cell_length_a 6.970
_cell_length_b 6.970
_cell_length_c 5.769
_cell_angle_alpha 90.00
_cell_angle_beta 90.00
_cell_angle_gamma 90.00
loop_
_atom_site_label
_atom_site_type_symbol
_atom_site_fract_x
_atom_site_fract_y
_atom_site_fract_z
Na1 Na 0.000 0.000 0.000
Hf1 Hf 0.000 0.000 0.500
Be1 Be 0.249 0.750 0.625

---

Entry 8:
# CaCoCl | Alexandria via LeMat-Bulk | GGA-PBE | optimized geometry
# Crystal system: hexagonal
# Energy relative to the elements, uncorrected (kJ per mole of atoms): -10
data_CaCoCl
_space_group_name_H-M_alt 'P 63/m m c'
_space_group_IT_number 194
_space_group_name_Hall '-P 6c 2c'
_cell_length_a 4.6788
_cell_length_b 4.6788
_cell_length_c 8.1769
_cell_angle_alpha 90.00
_cell_angle_beta 90.00
_cell_angle_gamma 120.00
loop_
_atom_site_label
_atom_site_type_symbol
_atom_site_fract_x
_atom_site_fract_y
_atom_site_fract_z
Ca1 Ca 0.3333 0.6667 0.2500
Co1 Co 0.0000 0.0000 0.0000
Cl1 Cl 0.0000 0.0000 0.2500

---

| no. | N(E_F) (states/eV per atom) | calculated total energy (eV/atom) |
| --- | --- | --- |
| 1 | 0.639 | -5.335 |
| 2 | 0.000 | -5.954 |
| 3 | 0.833 | -5.651 |
| 4 | 1.599 | -2.113 |
| 5 | 1.486 | -4.922 |
| 6 | 5.455 | -9.814 |
| 7 | 1.200 | -3.670 |
| 8 | 0.513 | -3.751 |